## P
Density functional theory data (PBE) for a relaxed NaReSe3 crystal.

Geometry as POSCAR:
```
NaReSe3
1.0
-4.876 2.830 3.044
-1.409 -6.720 3.990
5.844 4.170 5.485
Na Re Se
4 4 12
Direct
0.857 0.601 0.172
0.143 0.399 0.828
0.357 0.399 0.328
0.643 0.601 0.672
0.259 0.906 0.579
0.741 0.094 0.421
0.759 0.094 0.921
0.241 0.906 0.079
0.074 0.932 0.336
0.926 0.068 0.664
0.574 0.068 0.164
0.426 0.932 0.836
0.574 0.797 0.431
0.426 0.203 0.569
0.074 0.203 0.069
0.926 0.797 0.931
0.107 0.644 0.625
0.893 0.356 0.375
0.607 0.356 0.875
0.393 0.644 0.125
```

## Properties
- M_tot: 0.000 μB/atom
- Calculated volume: 112.59 Å³/f.u.
- N(E_F): 0.600 states/eV/atom

---

## Q
Density functional theory data (PBE) for a relaxed NaReSe3 crystal.

Geometry as POSCAR:
```
NaReSe3
1.0
4.979 0.000 0.000
0.000 4.979 0.000
0.000 0.000 4.979
Re Se Na
1 3 1
Direct
0.000 0.000 0.000
0.000 0.500 0.000
0.000 0.000 0.500
0.500 0.000 0.000
0.500 0.500 0.500
```

## Properties
- M_tot: 0.000 μB/atom
- Calculated volume: 123.44 Å³/f.u.
- N(E_F): 1.064 states/eV/atom

---

Most stable = P

---

## P
Density functional theory data (PBE) for a relaxed Na3ReSi crystal.

Geometry as POSCAR:
```
Na3ReSi
1.0
-1.373 -2.321 4.965
5.438 0.067 1.535
-0.689 5.151 2.217
Re Si Na
1 1 3
Direct
0.000 0.000 0.000
0.500 0.500 0.500
0.000 0.500 0.000
0.000 0.000 0.500
0.500 0.000 0.000
```

## Properties
- M_tot: 0.551 μB/atom
- Calculated volume: 180.40 Å³/f.u.
- N(E_F): 1.293 states/eV/atom

---

## Q
Density functional theory data (PBE) for a relaxed Na3ReSi crystal.

Geometry as POSCAR:
```
Na3ReSi
1.0
5.540 0.000 0.000
0.000 5.540 0.000
0.000 0.000 5.540
Re Si Na
1 1 3
Direct
0.500 0.500 0.500
0.000 0.000 0.000
0.000 0.500 0.000
0.000 0.000 0.500
0.500 0.000 0.000
```

## Properties
- M_tot: 1.200 μB/atom
- Calculated volume: 170.03 Å³/f.u.
- N(E_F): 0.523 states/eV/atom

---

Most stable = Q

---

## P
Density functional theory data (PBE) for a relaxed NaReSi3 crystal.

Geometry as POSCAR:
```
NaReSi3
1.0
-3.833 -2.279 1.633
0.533 -3.307 -3.366
2.752 -2.534 2.925
Re Si Na
1 3 1
Direct
0.000 0.000 0.000
0.000 0.500 0.000
0.000 0.000 0.500
0.500 0.000 0.000
0.500 0.500 0.500
```

## Properties
- M_tot: 0.000 μB/atom
- Calculated volume: 107.08 Å³/f.u.
- N(E_F): 0.879 states/eV/atom

---

## Q
Density functional theory data (PBE) for a relaxed NaReSi3 crystal.

Geometry as POSCAR:
```
NaReSi3
1.0
4.684 0.000 0.000
0.000 4.684 0.000
0.000 0.000 4.684
Re Si Na
1 3 1
Direct
0.500 0.500 0.500
0.000 0.500 0.000
0.000 0.000 0.500
0.500 0.000 0.000
0.000 0.000 0.000
```

## Properties
- M_tot: 0.558 μB/atom
- Calculated volume: 102.75 Å³/f.u.
- N(E_F): 0.711 states/eV/atom

---

Most stable = P

---

## P
Density functional theory data (PBE) for a relaxed NaReSi2 crystal.

Geometry as POSCAR:
```
NaReSi2
1.0
-3.207 -2.892 -0.594
-1.672 -2.132 3.414
-4.036 0.908 1.373
Re Si Na
1 2 1
Direct
0.500 0.500 0.500
0.250 0.250 0.250
0.750 0.750 0.750
0.000 0.000 0.000
```

## Properties
- M_tot: 0.000 μB/atom
- Calculated volume: 58.56 Å³/f.u.
- N(E_F): 0.752 states/eV/atom

---

## Q
Density functional theory data (PBE) for a relaxed NaReSi2 crystal.

Geometry as POSCAR:
```
NaReSi2
1.0
-2.890 3.300 3.163
-4.437 -2.923 -1.005
-2.158 -4.113 6.943
Re Si Na
2 4 2
Direct
0.000 0.000 0.000
0.750 0.250 0.500
0.874 0.125 0.250
0.876 0.625 0.250
0.375 0.126 0.750
0.875 0.124 0.750
0.500 0.500 0.000
0.250 0.750 0.500
```

## Properties
- M_tot: 0.000 μB/atom
- Calculated volume: 108.58 Å³/f.u.
- N(E_F): 0.227 states/eV/atom

---

Most stable = P

---

## P
Density functional theory data (PBE) for a relaxed NaRe3Sn crystal.

Geometry as POSCAR:
```
NaRe3Sn
1.0
4.926 0.000 0.000
0.000 4.926 0.000
0.000 0.000 4.926
Re Sn Na
3 1 1
Direct
0.000 0.500 0.000
0.000 0.000 0.500
0.500 0.000 0.000
0.000 0.000 0.000
0.500 0.500 0.500
```

## Properties
- M_tot: 0.000 μB/atom
- Calculated volume: 119.54 Å³/f.u.
- N(E_F): 1.816 states/eV/atom

---

## Q
Density functional theory data (PBE) for a relaxed NaRe3Sn crystal.

Geometry as POSCAR:
```
NaRe3Sn
1.0
-2.922 1.265 3.276
0.125 -4.222 1.741
3.510 1.203 2.666
Re Sn Na
3 1 1
Direct
0.000 0.500 0.000
0.000 0.000 0.500
0.500 0.000 0.000
0.500 0.500 0.500
0.000 0.000 0.000
```

## Properties
- M_tot: 1.050 μB/atom
- Calculated volume: 95.35 Å³/f.u.
- N(E_F): 0.697 states/eV/atom

---

Most stable = P

---

## P
Density functional theory data (PBE) for a relaxed Na2SrRe crystal.

Geometry as POSCAR:
```
Na2SrRe
1.0
-2.974 3.239 -0.948
-0.597 -1.749 -4.102
-10.684 -6.180 1.722
Re Na Sr
2 4 2
Direct
0.000 0.000 0.000
0.750 0.250 0.500
0.657 0.125 0.250
0.093 0.625 0.250
0.375 0.343 0.750
0.875 0.907 0.750
0.500 0.500 0.000
0.250 0.750 0.500
```

## Properties
- M_tot: 0.750 μB/atom
- Calculated volume: 121.93 Å³/f.u.
- N(E_F): 0.779 states/eV/atom

---

## Q
Density functional theory data (PBE) for a relaxed Na2SrRe crystal.

Geometry as POSCAR:
```
Na2SrRe
1.0
0.000 3.791 3.791
3.791 0.000 3.791
3.791 3.791 0.000
Re Na Sr
1 2 1
Direct
0.500 0.500 0.500
0.250 0.250 0.250
0.750 0.750 0.750
0.000 0.000 0.000
```

## Properties
- M_tot: 0.670 μB/atom
- Calculated volume: 109.00 Å³/f.u.
- N(E_F): 0.806 states/eV/atom

---

Most stable = Q